The following is a DFT calculation (PBE) of a relaxed Tm12AlPd6 crystal.

## Properties
Formation energy from the elements ... -0.6203 eV per atom
ΔE to the lowest computed polymorph ... 0.0 meV/atom

Cell: 8.471 8.471 8.471 Å, 109.47 109.47 109.47°
Positions (direct):
Tm (0.111, 0.294, 0.817)
Tm (0.183, 0.476, 0.294)
Tm (0.183, 0.889, 0.706)
Tm (0.294, 0.183, 0.476)
Tm (0.294, 0.817, 0.111)
Tm (0.476, 0.294, 0.183)
Tm (0.524, 0.706, 0.817)
Tm (0.706, 0.183, 0.889)
Tm (0.706, 0.817, 0.524)
Tm (0.817, 0.111, 0.294)
Tm (0.817, 0.524, 0.706)
Tm (0.889, 0.706, 0.183)
Al (0.000, 0.000, 0.000)
Pd (0.139, 0.500, 0.639)
Pd (0.361, 0.861, 0.500)
Pd (0.500, 0.361, 0.861)
Pd (0.500, 0.639, 0.139)
Pd (0.639, 0.139, 0.500)
Pd (0.861, 0.500, 0.361)